This record from Alexandria describes LaPm2VN4 after structural relaxation. The functional is PBE.

```
LaPm2VN4
1.0
1.738 -6.026 0.000
1.738 6.026 0.000
0.000 0.000 12.140
La Pm V N
2 4 2 8
Cartesian
1.738 5.029 9.105
1.738 -5.029 3.035
1.738 1.574 6.586
1.738 1.574 11.623
1.738 -1.574 0.516
1.738 -1.574 5.553
1.738 3.890 3.035
1.738 -3.890 9.105
0.000 0.000 0.000
0.000 0.000 6.070
1.738 2.820 1.596
1.738 2.820 4.474
1.738 1.004 9.105
1.738 -1.004 3.035
1.738 -2.820 7.665
1.738 -2.820 10.544
```

Crystal system   orthorhombic
Formation energy from raw total energies   -10.00 eV per formula unit
Symmetry   Cmcm
E_tot   -133.693 eV for the cell shown